# 1
A relaxed KZrCu3 crystal. Source: Alexandria via LeMat-Bulk, functional PBE-GGA.

Computed properties:
- N(E_F) (states/eV/atom) = 1.177
- E_tot (eV per atom) = -2.825
- formation enthalpy at 0 K (meV/atom) = 1561
- ΔE to the lowest computed polymorph (meV/atom) = 716.5

Structure (CIF):
```
data_KZrCu3
_space_group_name_H-M_alt 'P m -3 m'
_space_group_IT_number 221
_space_group_name_Hall '-P 4 2 3'
_cell_length_a 4.7771
_cell_length_b 4.7771
_cell_length_c 4.7771
_cell_angle_alpha 90.00
_cell_angle_beta 90.00
_cell_angle_gamma 90.00
loop_
_atom_site_label
_atom_site_type_symbol
_atom_site_fract_x
_atom_site_fract_y
_atom_site_fract_z
K1 K 0.0000 0.0000 0.0000
Zr1 Zr 0.5000 0.5000 0.5000
Cu1 Cu 0.0000 0.0000 0.5000
```

***

# 2
A relaxed Mg2Al2SiNi5 crystal. Source: Alexandria via LeMat-Bulk, functional PBE-GGA.

Computed properties:
- energy relative to the elements, uncorrected (eV per atom) = -0.343
- N(E_F) (states/eV/atom) = 0.569
- E_tot (eV per atom) = -4.844

Structure (CIF):
```
data_Mg2Al2SiNi5
_space_group_name_H-M_alt 'P 4/m b m'
_space_group_IT_number 127
_space_group_name_Hall '-P 4 2ab'
_cell_length_a 9.8018
_cell_length_b 9.8018
_cell_length_c 2.8165
_cell_angle_alpha 90.00
_cell_angle_beta 90.00
_cell_angle_gamma 90.00
loop_
_atom_site_label
_atom_site_type_symbol
_atom_site_fract_x
_atom_site_fract_y
_atom_site_fract_z
Mg1 Mg 0.1672 0.3328 0.0000
Al1 Al 0.1362 0.6362 0.0000
Si1 Si 0.0000 0.0000 0.0000
Ni1 Ni 0.0000 0.5000 0.5000
Ni2 Ni 0.0416 0.8131 0.5000
```

***

# 3
A relaxed CeNdHgPd crystal. Source: Alexandria via LeMat-Bulk, functional PBE-GGA.

Computed properties:
- N(E_F) (states/eV/atom) = 2.234
- E_tot (eV per atom) = -4.521
- formation enthalpy at 0 K (meV/atom) = -472

Structure (CIF):
```
data_CeNdHgPd
_space_group_name_H-M_alt 'F -4 3 m'
_space_group_IT_number 216
_space_group_name_Hall 'F -4 2 3'
_cell_length_a 7.4436
_cell_length_b 7.4436
_cell_length_c 7.4436
_cell_angle_alpha 90.00
_cell_angle_beta 90.00
_cell_angle_gamma 90.00
loop_
_atom_site_label
_atom_site_type_symbol
_atom_site_fract_x
_atom_site_fract_y
_atom_site_fract_z
Ce1 Ce 0.0000 0.0000 0.0000
Nd1 Nd 0.0000 0.0000 0.5000
Hg1 Hg 0.2500 0.2500 0.2500
Pd1 Pd 0.2500 0.2500 0.7500
```

***

# 4
A relaxed KNp2Pd2S4 crystal. Source: Alexandria via LeMat-Bulk, functional PBE-GGA.

Computed properties:
- energy relative to the elements, uncorrected (eV per atom) = -0.876
- N(E_F) (states/eV/atom) = 0.846
- E_tot (eV per atom) = -6.862

Structure (CIF):
```
data_KNp2Pd2S4
_space_group_name_H-M_alt 'C 1 2/m 1'
_space_group_IT_number 12
_cell_length_a 14.4748
_cell_length_b 3.6858
_cell_length_c 8.9302
_cell_angle_alpha 90.00
_cell_angle_beta 119.14
_cell_angle_gamma 90.00
loop_
_space_group_symop_operation_xyz
'x,y,z'
'-x,-y,-z'
'-x,y,-z'
'x,-y,z'
'x+1/2,y+1/2,z'
'-x+1/2,-y+1/2,-z'
'-x+1/2,y+1/2,-z'
'x+1/2,-y+1/2,z'
loop_
_atom_site_label
_atom_site_type_symbol
_atom_site_fract_x
_atom_site_fract_y
_atom_site_fract_z
K1 K 0.0000 0.0000 0.0000
Np1 Np 0.0945 0.0000 0.5689
Pd1 Pd 0.1810 0.5000 0.3784
S1 S 0.0058 0.5000 0.6998
S2 S 0.2492 0.0000 0.2620
```

***

# 5
A relaxed GaH3F7 crystal. Source: Alexandria via LeMat-Bulk, functional PBE-GGA.

Computed properties:
- N(E_F) (states/eV/atom) = 0.811
- E_tot (eV per atom) = -4.057

Structure (CIF):
```
data_GaH3F7
_space_group_name_H-M_alt 'R 3 m'
_space_group_IT_number 160
_space_group_name_Hall 'R 3 -2"'
_cell_length_a 8.6287
_cell_length_b 8.6287
_cell_length_c 5.9036
_cell_angle_alpha 90.00
_cell_angle_beta 90.00
_cell_angle_gamma 120.00
loop_
_atom_site_label
_atom_site_type_symbol
_atom_site_fract_x
_atom_site_fract_y
_atom_site_fract_z
Ga1 Ga 0.0000 0.0000 0.0000
H1 H 0.1869 0.3738 0.3214
F1 F 0.0000 0.0000 0.3095
F2 F 0.0073 0.5037 0.8288
F3 F 0.2218 0.1109 0.8726
```

***

# 6
A relaxed Te2Pb2Se crystal. Source: Alexandria via LeMat-Bulk, functional PBE-GGA.

Computed properties:
- energy relative to the elements, uncorrected (eV per atom) = -0.070
- N(E_F) (states/eV/atom) = 0.943
- E_tot (eV per atom) = -3.507
- ΔE to the lowest computed polymorph (meV/atom) = 23.5

Structure (CIF):
```
data_Te2Pb2Se
_space_group_name_H-M_alt 'P 4/m b m'
_space_group_IT_number 127
_space_group_name_Hall '-P 4 2ab'
_cell_length_a 8.5197
_cell_length_b 8.5197
_cell_length_c 4.6245
_cell_angle_alpha 90.00
_cell_angle_beta 90.00
_cell_angle_gamma 90.00
loop_
_atom_site_label
_atom_site_type_symbol
_atom_site_fract_x
_atom_site_fract_y
_atom_site_fract_z
Te1 Te 0.1223 0.3777 0.0000
Pb1 Pb 0.2046 0.7046 0.5000
Se1 Se 0.0000 0.0000 0.5000
```

***

# 7
A relaxed AlTlPb2 crystal. Source: Alexandria via LeMat-Bulk, functional PBE-GGA.

Computed properties:
- N(E_F) (states/eV/atom) = 0.518
- E_tot (eV per atom) = -3.212
- formation enthalpy at 0 K (meV/atom) = 169
- ΔE to the lowest computed polymorph (meV/atom) = 56.4

Structure (CIF):
```
data_AlTlPb2
_space_group_name_H-M_alt 'I m m 2'
_space_group_IT_number 44
_cell_length_a 3.5698
_cell_length_b 5.5991
_cell_length_c 11.2584
_cell_angle_alpha 90.00
_cell_angle_beta 90.00
_cell_angle_gamma 90.00
loop_
_space_group_symop_operation_xyz
'x,y,z'
'-x,-y,z'
'-x,y,z'
'x,-y,z'
'x+1/2,y+1/2,z+1/2'
'-x+1/2,-y+1/2,z+1/2'
'-x+1/2,y+1/2,z+1/2'
'x+1/2,-y+1/2,z+1/2'
loop_
_atom_site_label
_atom_site_type_symbol
_atom_site_fract_x
_atom_site_fract_y
_atom_site_fract_z
Al1 Al 0.0000 0.0000 0.0000
Tl1 Tl 0.0000 0.5000 0.2763
Pb1 Pb 0.0000 0.0000 0.5007
Pb2 Pb 0.0000 0.5000 0.7210
```

***

# 8
A relaxed InSiMo2 crystal. Source: Alexandria via LeMat-Bulk, functional PBE-GGA.

Computed properties:
- energy relative to the elements, uncorrected (eV per atom) = 0.365
- N(E_F) (states/eV/atom) = 0.969
- E_tot (eV per atom) = -7.091
- ΔE to the lowest computed polymorph (meV/atom) = 326.5

Structure (CIF):
```
data_InSiMo2
_space_group_name_H-M_alt 'F m -3 m'
_space_group_IT_number 225
_space_group_name_Hall '-F 4 2 3'
_cell_length_a 6.3681
_cell_length_b 6.3681
_cell_length_c 6.3681
_cell_angle_alpha 90.00
_cell_angle_beta 90.00
_cell_angle_gamma 90.00
loop_
_atom_site_label
_atom_site_type_symbol
_atom_site_fract_x
_atom_site_fract_y
_atom_site_fract_z
In1 In 0.0000 0.0000 0.0000
Si1 Si 0.0000 0.0000 0.5000
Mo1 Mo 0.2500 0.2500 0.2500
```

***

# 9
A relaxed ZnTcNi2N crystal. Source: Alexandria via LeMat-Bulk, functional PBE-GGA.

Computed properties:
- energy relative to the elements, uncorrected (eV per atom) = -0.095
- N(E_F) (states/eV/atom) = 0.555
- E_tot (eV per atom) = -6.401

Structure (CIF):
```
data_ZnTcNi2N
_space_group_name_H-M_alt 'P 4/m m m'
_space_group_IT_number 123
_space_group_name_Hall '-P 4 2'
_cell_length_a 3.8079
_cell_length_b 3.8079
_cell_length_c 3.9739
_cell_angle_alpha 90.00
_cell_angle_beta 90.00
_cell_angle_gamma 90.00
loop_
_atom_site_label
_atom_site_type_symbol
_atom_site_fract_x
_atom_site_fract_y
_atom_site_fract_z
Zn1 Zn 0.0000 0.0000 0.0000
Tc1 Tc 0.5000 0.5000 0.0000
Ni1 Ni 0.0000 0.5000 0.5000
N1 N 0.5000 0.5000 0.5000
```